CaCrO2F: relaxed, GGA+U.

Computed properties:
- Magnetic moment: 3.0 Bohr magnetons per cell
- E_tot: -27.5 eV/cell

```
data_CaCrO2F
_chemical_formula_sum 'Ca1 Cr1 O2 F1'
_space_group_name_H-M_alt 'P 4/m m m'
_space_group_IT_number 123
_space_group_name_Hall '-P 4 2'
_cell_length_a 4.399
_cell_length_b 4.399
_cell_length_c 4.220
_cell_angle_alpha 90.00
_cell_angle_beta 90.00
_cell_angle_gamma 90.00
loop_
_atom_site_label
_atom_site_type_symbol
_atom_site_fract_x
_atom_site_fract_y
_atom_site_fract_z
Ca1 Ca 0.000 0.000 0.000
Cr1 Cr 0.500 0.500 0.500
O1 O 0.000 0.500 0.000
F1 F 0.000 0.000 0.500
```